[1]
VASP calculation (PBE-GGA) on a geometry-optimized Y2CoSi structure.

Properties
- Total energy: -100.96 eV/cell
- Space group: F-43m
- Formation energy from raw total energies: 0.05 eV/atom
- Total moment: 0.05 μB/f.u.

Cell: 6.702 6.702 6.702 Å, 90.00 90.00 90.00°
Positions (direct):
Y: 0.000 0.000 0.000
Y: 0.000 0.500 0.500
Y: 0.250 0.250 0.250
Y: 0.250 0.750 0.750
Y: 0.500 0.000 0.500
Y: 0.500 0.500 0.000
Y: 0.750 0.250 0.750
Y: 0.750 0.750 0.250
Co: 0.000 0.000 0.500
Co: 0.000 0.500 0.000
Co: 0.500 0.000 0.000
Co: 0.500 0.500 0.500
Si: 0.250 0.250 0.750
Si: 0.250 0.750 0.250
Si: 0.750 0.250 0.250
Si: 0.750 0.750 0.750



[2]
VASP calculation (PBE-GGA) on a geometry-optimized Y2Co3Si structure.

Properties
- Total energy: -42.14 eV/cell
- Space group: R-3m
- Formation energy from raw total energies: -0.41 eV/atom
- Total moment: 0.00 μB/f.u.

Cell: 4.907 4.907 4.907 Å, 64.88 64.88 64.88°
Positions (direct):
Y: 0.127 0.127 0.127
Y: 0.873 0.873 0.873
Co: 0.000 0.500 0.500
Co: 0.500 0.000 0.500
Co: 0.500 0.500 0.000
Si: 0.500 0.500 0.500



[3]
VASP calculation (PBE-GGA) on a geometry-optimized Y2CoSi2 structure.

Properties
- Total energy: -62.68 eV/cell
- Space group: I4/mmm
- Formation energy from raw total energies: -0.09 eV/atom
- Total moment: 0.34 μB/f.u.

Cell: 5.708 5.708 6.587 Å, 90.00 90.00 90.00°
Positions (direct):
Y: 0.000 0.500 0.250
Y: 0.000 0.500 0.750
Y: 0.500 0.000 0.250
Y: 0.500 0.000 0.750
Co: 0.000 0.000 0.000
Co: 0.500 0.500 0.500
Si: 0.000 0.000 0.329
Si: 0.000 0.000 0.671
Si: 0.500 0.500 0.171
Si: 0.500 0.500 0.829



[4]
VASP calculation (PBE-GGA) on a geometry-optimized Y2CoSi structure.

Properties
- Total energy: -26.34 eV/cell
- Space group: P4mm
- Formation energy from raw total energies: -0.22 eV/atom
- Total moment: 0.33 μB/f.u.

Cell: 3.178 3.178 8.085 Å, 90.00 90.00 90.00°
Positions (direct):
Y: 0.000 0.000 0.000
Y: 0.500 0.500 0.382
Co: 0.000 0.000 0.625
Si: 0.500 0.500 0.748



[5]
VASP calculation (PBE-GGA) on a geometry-optimized Y2CoSi3 structure.

Properties
- Total energy: -81.95 eV/cell
- Space group: Fmmm
- Formation energy from raw total energies: -0.78 eV/atom
- Total moment: 0.00 μB/f.u.

Cell: 7.996 7.975 5.677 Å, 69.38 68.97 41.65°
Positions (direct):
Y: 0.250 0.250 0.250
Y: 0.250 0.750 0.250
Y: 0.750 0.250 0.750
Y: 0.750 0.750 0.750
Co: 0.166 0.166 0.834
Co: 0.834 0.834 0.166
Si: 0.156 0.672 0.844
Si: 0.328 0.328 0.672
Si: 0.328 0.844 0.672
Si: 0.672 0.156 0.328
Si: 0.672 0.672 0.328
Si: 0.844 0.328 0.156



[6]
VASP calculation (PBE-GGA) on a geometry-optimized Y3Co2Si2 structure.

Properties
- Total energy: -195.84 eV/cell
- Space group: Pbcm
- Formation energy from raw total energies: -0.64 eV/atom
- Total moment: 0.00 μB/f.u.

Cell: 5.559 7.620 12.568 Å, 90.00 90.00 90.00°
Positions (direct):
Y: 0.128 0.249 0.250
Y: 0.128 0.251 0.750
Y: 0.363 0.608 0.602
Y: 0.363 0.608 0.898
Y: 0.363 0.892 0.102
Y: 0.363 0.892 0.398
Y: 0.637 0.108 0.602
Y: 0.637 0.108 0.898
Y: 0.637 0.392 0.102
Y: 0.637 0.392 0.398
Y: 0.872 0.749 0.250
Y: 0.872 0.751 0.750
Co: 0.132 0.528 0.086
Co: 0.132 0.528 0.414
Co: 0.132 0.972 0.586
Co: 0.132 0.972 0.914
Co: 0.868 0.028 0.086
Co: 0.868 0.028 0.414
Co: 0.868 0.472 0.586
Co: 0.868 0.472 0.914
Si: 0.108 0.250 0.000
Si: 0.108 0.250 0.500
Si: 0.344 0.597 0.250
Si: 0.344 0.903 0.750
Si: 0.656 0.097 0.250
Si: 0.656 0.403 0.750
Si: 0.892 0.750 0.000
Si: 0.892 0.750 0.500



[7]
VASP calculation (PBE-GGA) on a geometry-optimized Y12Co6Si structure.

Properties
- Total energy: -130.12 eV/cell
- Space group: Im-3
- Formation energy from raw total energies: -0.24 eV/atom
- Total moment: 0.00 μB/f.u.

Cell: 8.335 8.335 8.335 Å, 109.47 109.47 109.47°
Positions (direct):
Y: 0.106 0.806 0.300
Y: 0.194 0.300 0.494
Y: 0.194 0.700 0.894
Y: 0.300 0.106 0.806
Y: 0.300 0.494 0.194
Y: 0.494 0.194 0.300
Y: 0.506 0.806 0.700
Y: 0.700 0.506 0.806
Y: 0.700 0.894 0.194
Y: 0.806 0.300 0.106
Y: 0.806 0.700 0.506
Y: 0.894 0.194 0.700
Co: 0.113 0.613 0.500
Co: 0.387 0.500 0.887
Co: 0.500 0.113 0.613
Co: 0.500 0.887 0.387
Co: 0.613 0.500 0.113
Co: 0.887 0.387 0.500
Si: 0.000 0.000 0.000



[8]
VASP calculation (PBE-GGA) on a geometry-optimized Y2CoSi structure.

Properties
- Total energy: -25.70 eV/cell
- Space group: P4mm
- Formation energy from raw total energies: -0.06 eV/atom
- Total moment: 0.71 μB/f.u.

Cell: 4.022 4.022 5.756 Å, 90.00 90.00 90.00°
Positions (direct):
Y: 0.000 0.000 0.000
Y: 0.500 0.500 0.425
Co: 0.000 0.000 0.498
Si: 0.500 0.500 0.925